VASP calculation (PBE) on a geometry-optimized RbTbN structure.

```
data_RbTbN
_chemical_formula_sum 'Rb4 Tb4 N4'
_space_group_name_H-M_alt 'C 1 2/m 1'
_space_group_IT_number 12
_cell_length_a 16.332
_cell_length_b 3.681
_cell_length_c 6.963
_cell_angle_alpha 90.00
_cell_angle_beta 91.45
_cell_angle_gamma 90.00
loop_
_space_group_symop_operation_xyz
'x,y,z'
'-x,-y,-z'
'-x,y,-z'
'x,-y,z'
'x+1/2,y+1/2,z'
'-x+1/2,-y+1/2,-z'
'-x+1/2,y+1/2,-z'
'x+1/2,-y+1/2,z'
loop_
_atom_site_label
_atom_site_type_symbol
_atom_site_fract_x
_atom_site_fract_y
_atom_site_fract_z
Rb1 Rb 0.073 0.000 0.242
Tb1 Tb 0.209 0.000 0.828
N1 N 0.177 0.500 0.995
```

For the density, the calculation gives 4101 kg/m³. As for the electronic total energy: -5.21 eV/atom. As for the density of states at the Fermi level: 0.361 states/eV per atom. The uncorrected formation energy comes out at -574 meV/atom.